# 1
## Hf2VFe (PBE)

Data for an optimized crystal structure of Hf2VFe.

The structure belongs to space group Fm-3m (No. 225); the cell edges are 6.4501, 6.4501 and 6.4501 Å and the angles 90.00°, 90.00° and 90.00°. Symmetry generates all atoms from Hf at (0.2500, 0.2500, 0.2500), V at (0.0000, 0.0000, 0.0000) and Fe at (0.0000, 0.0000, 0.5000).

The value obtained for the formation energy is -0.044 eV/atom. For the energy above the most stable polymorph in this dataset, the calculation gives 0.009 eV/atom.

# 2
## Hf2VFeW (PBE)

Data for an optimized crystal structure of Hf2VFeW.

The structure belongs to space group P4/mmm (No. 123); the cell edges are 4.8209, 4.8209 and 4.3511 Å and the angles 90.00°, 90.00° and 90.00°. Symmetry generates all atoms from Hf at (0.0000, 0.5000, 0.0000), V at (0.0000, 0.0000, 0.0000), Fe at (0.5000, 0.5000, 0.5000) and W at (0.0000, 0.0000, 0.5000).

The value obtained for the formation energy is 1.406 eV/atom.

# 3
## Hf2ZrVFe (PBE)

Data for an optimized crystal structure of Hf2ZrVFe.

The structure belongs to space group P4/mmm (No. 123); the cell edges are 4.7190, 4.7190 and 4.7594 Å and the angles 90.00°, 90.00° and 90.00°. Symmetry generates all atoms from Hf at (0.0000, 0.5000, 0.0000), Zr at (0.0000, 0.0000, 0.5000), V at (0.5000, 0.5000, 0.5000) and Fe at (0.0000, 0.0000, 0.0000).

The value obtained for the formation energy is 0.613 eV/atom.

# 4
## Hf3FeW (PBE)

Data for an optimized crystal structure of Hf3FeW.

The structure belongs to space group Pm-3m (No. 221); the cell edges are 4.9800, 4.9800 and 4.9800 Å and the angles 90.00°, 90.00° and 90.00°. Symmetry generates all atoms from Hf at (0.0000, 0.0000, 0.5000), Fe at (0.5000, 0.5000, 0.5000) and W at (0.0000, 0.0000, 0.0000).

The value obtained for the formation energy is 1.491 eV/atom. For the energy above the most stable polymorph in this dataset, the calculation gives 0.812 eV/atom.

# 5
## HfFe2W (PBE)

Data for an optimized crystal structure of HfFe2W.

The structure belongs to space group P4/mmm (No. 123); the cell edges are 3.0441, 3.0441 and 6.2829 Å and the angles 90.00°, 90.00° and 90.00°. Symmetry generates all atoms from Hf at (0.0000, 0.0000, 0.0000), Fe at (0.5000, 0.5000, 0.2699) and W at (0.0000, 0.0000, 0.5000).

The value obtained for the formation energy is -0.043 eV/atom.

# 6
## HfFeW2 (PBE)

Data for an optimized crystal structure of HfFeW2.

The structure belongs to space group Fm-3m (No. 225); the cell edges are 6.3023, 6.3023 and 6.3023 Å and the angles 90.00°, 90.00° and 90.00°. Symmetry generates all atoms from Hf at (0.0000, 0.0000, 0.0000), Fe at (0.0000, 0.0000, 0.5000) and W at (0.2500, 0.2500, 0.2500).

The value obtained for the formation energy is 0.349 eV/atom. For the energy above the most stable polymorph in this dataset, the calculation gives 0.000 eV/atom.

What is the formation energy in the second record? 1.406 eV/atom